Entry 1:
A plane-wave DFT calculation with PBE was carried out for NdHfSn2 after structural relaxation.

Cell: 3.3855 3.3855 10.4951 Å, 80.72 80.72 60.00°
Closest atoms and distances in Å follow each position.
Element x y z (fractional)
Nd 0.5000 0.5000 0.5000  6 Sn 3.38, 6 Nd 3.39
Sn 0.2559 0.2559 0.2324  3 Hf 3.09, 3 Nd 3.38, 6 Sn 3.39
Sn 0.7441 0.7441 0.7676  3 Hf 3.09, 3 Nd 3.38, 6 Sn 3.39
Hf 0.0000 0.0000 0.0000  6 Sn 3.09, 6 Hf 3.39

Results
For the total energy, the calculation gives -23.9 eV per cell.

***

Entry 2:
A plane-wave DFT calculation with PBE was carried out for Ni3HgTe after structural relaxation.

Cell: 4.6662 4.6662 4.6662 Å, 90.00 90.00 90.00°
Closest atoms and distances in Å follow each position.
Element x y z (fractional)
Hg 0.5000 0.5000 0.5000  12 Ni 3.30
Ni 0.5000 0.0000 0.0000  2 Te 2.33
Ni 0.0000 0.5000 0.0000  2 Te 2.33
Ni 0.0000 0.0000 0.5000  2 Te 2.33
Te 0.0000 0.0000 0.0000  6 Ni 2.33

Results
The value obtained for the formation energy (no corrections) is 0.656 eV/atom. For the total energy, the calculation gives -17.5 eV per cell.

***

Entry 3:
A plane-wave DFT calculation with PBE was carried out for MnVNi3 after structural relaxation.

Cell: 4.2657 4.2657 4.2657 Å, 90.00 90.00 90.00°
Closest atoms and distances in Å follow each position.
Element x y z (fractional)
Ni 0.0000 0.0000 0.5000  2 V 2.13
Ni 0.0000 0.5000 0.0000  2 V 2.13
Mn 0.5000 0.5000 0.5000  12 Ni 3.02
V 0.0000 0.0000 0.0000  6 Ni 2.13
Ni 0.5000 0.0000 0.0000  2 V 2.13

Results
For the total energy, the calculation gives -30.8 eV per cell.

***

Entry 4:
A plane-wave DFT calculation with PBE was carried out for Pr4Sb2Br3 after structural relaxation.

Cell: 4.4674 4.4674 18.0216 Å, 90.06 89.94 120.00°
Closest atoms and distances in Å follow each position.
Element x y z (fractional)
Pr 0.6664 0.3336 0.1051  3 Sb 3.11, 3 Br 3.20
Pr 0.3336 0.6664 0.8949  3 Sb 3.11, 3 Br 3.20
Sb 0.3328 0.6672 0.2017  6 Pr 3.11-3.13
Pr 0.9992 0.0008 0.3004  3 Br 3.11, 3 Sb 3.13
Br 0.6656 0.3344 0.3972  3 Pr 3.11
Br 0.3344 0.6656 0.6028  3 Pr 3.11
Sb 0.6672 0.3328 0.7983  6 Pr 3.11-3.13
Pr 0.0008 0.9992 0.6996  3 Br 3.11, 3 Sb 3.13
Br 0.0000 0.0000 0.0000  6 Pr 3.20

Results
The value obtained for the formation energy (no corrections) is -1.378 eV/atom. For the total energy, the calculation gives -44.8 eV per cell.

***

Entry 5:
A plane-wave DFT calculation with PBE was carried out for LaSbAu2 after structural relaxation.

Cell: 3.7777 3.7777 6.8817 Å, 90.00 90.00 90.00°
Closest atoms and distances in Å follow each position.
Element x y z (fractional)
La 0.0000 0.0000 0.4716  5 Au 3.15-3.27, 4 Sb 3.52
Au 0.0000 0.0000 0.9962  4 Sb 2.98, 4 Au 3.11, 1 La 3.27
Au 0.5000 0.5000 0.2278  1 Sb 2.91, 4 Au 3.11, 4 La 3.15
Sb 0.5000 0.5000 0.8044  5 Au 2.91-2.98

Results
The value obtained for the formation energy (no corrections) is -0.455 eV/atom. For the total energy, the calculation gives -17.4 eV per cell.

***

Entry 6:
A plane-wave DFT calculation with PBE was carried out for ZrBP2N6 after structural relaxation.

Cell: 5.5033 6.4960 6.4960 Å, 80.83 69.37 69.37°
Closest atoms and distances in Å follow each position.
Element x y z (fractional)
P 0.3332 0.7795 0.6310  4 N 1.60-1.69
N 0.4856 0.8170 0.3754  1 B 1.50, 1 P 1.60
N 0.9388 0.2593 0.4020  2 P 1.67-1.69
N 0.8129 0.0219 0.1969  1 B 1.57, 1 P 1.63
P 0.1668 0.3690 0.2205  4 N 1.60-1.69
N 0.5144 0.1830 0.6246  1 B 1.50, 1 P 1.60
N 0.6871 0.8031 0.9781  1 B 1.57, 1 P 1.63
P 0.6668 0.2205 0.3690  4 N 1.60-1.69
P 0.8332 0.6310 0.7795  4 N 1.60-1.69
B 0.7500 0.8048 0.1952  4 N 1.50-1.57
N 0.0144 0.6246 0.1830  1 B 1.50, 1 P 1.60
N 0.9856 0.3754 0.8170  1 B 1.50, 1 P 1.60
Zr 0.2500 0.8294 0.1706  4 N 2.14-2.24
N 0.4388 0.4020 0.2593  2 P 1.67-1.69
N 0.1871 0.9781 0.8031  1 B 1.57, 1 P 1.63
N 0.5612 0.5980 0.7407  2 P 1.67-1.69
N 0.3129 0.1969 0.0219  1 B 1.57, 1 P 1.63
B 0.2500 0.1952 0.8048  4 N 1.50-1.57
N 0.0612 0.7407 0.5980  2 P 1.67-1.69
Zr 0.7500 0.1706 0.8294  4 N 2.14-2.24

Results
The value obtained for the formation energy (no corrections) is -0.562 eV/atom. For the total energy, the calculation gives -163.2 eV per cell.

***

Q: Which formula does entry 1 have?
A: NdHfSn2

***

Q: Number 5 is which compound?
A: LaSbAu2